Arrangement a

# K2Tl2Pb (GGA-PBE, optimized geometry)
# Density of states at the Fermi level: 6.48 states/eV per cell
data_K2Tl2Pb
_symmetry_space_group_name_H-M 'P 4/m b m'
_symmetry_Int_Tables_number 127
_symmetry_space_group_name_Hall '-P 4 2ab'
_cell_length_a 8.202
_cell_length_b 8.202
_cell_length_c 5.804
_cell_angle_alpha 90.00
_cell_angle_beta 90.00
_cell_angle_gamma 90.00
loop_
_atom_site_label
_atom_site_type_symbol
_atom_site_fract_x
_atom_site_fract_y
_atom_site_fract_z
K1 K 0.180 0.320 0.000
Tl1 Tl 0.133 0.633 0.500
Pb1 Pb 0.000 0.000 0.500



Arrangement b

# K2Tl2Pb (GGA-PBE, optimized geometry)
# Density of states at the Fermi level: 11.75 states/eV per cell
data_K2Tl2Pb
_symmetry_space_group_name_H-M 'C 1 2/c 1'
_symmetry_Int_Tables_number 15
_cell_length_a 11.826
_cell_length_b 6.947
_cell_length_c 9.728
_cell_angle_alpha 90.00
_cell_angle_beta 103.69
_cell_angle_gamma 90.00
loop_
_symmetry_equiv_pos_as_xyz
'x,y,z'
'-x,-y,-z'
'-x,y,-z+1/2'
'x,-y,z+1/2'
'x+1/2,y+1/2,z'
'-x+1/2,-y+1/2,-z'
'-x+1/2,y+1/2,-z+1/2'
'x+1/2,-y+1/2,z+1/2'
loop_
_atom_site_label
_atom_site_type_symbol
_atom_site_fract_x
_atom_site_fract_y
_atom_site_fract_z
K1 K 0.148 0.124 0.155
Tl1 Tl 0.133 0.378 0.498
Pb1 Pb 0.000 0.346 0.750



Verdict on stability: arrangement a comes out at the bottom.



Arrangement a

# KTl2Pb4 (GGA-PBE, optimized geometry)
# Density of states at the Fermi level: 7.88 states/eV per cell
data_KTl2Pb4
_symmetry_space_group_name_H-M 'C m m m'
_symmetry_Int_Tables_number 65
_symmetry_space_group_name_Hall '-C 2 2'
_cell_length_a 5.264
_cell_length_b 17.862
_cell_length_c 5.349
_cell_angle_alpha 90.00
_cell_angle_beta 90.00
_cell_angle_gamma 90.00
loop_
_atom_site_label
_atom_site_type_symbol
_atom_site_fract_x
_atom_site_fract_y
_atom_site_fract_z
K1 K 0.000 0.000 0.000
Tl1 Tl 0.000 0.415 0.500
Pb1 Pb 0.000 0.191 0.500
Pb2 Pb 0.000 0.310 0.000



Arrangement b

# KTl2Pb4 (GGA-PBE, optimized geometry)
# Density of states at the Fermi level: 7.95 states/eV per cell
data_KTl2Pb4
_symmetry_space_group_name_H-M 'C m m m'
_symmetry_Int_Tables_number 65
_symmetry_space_group_name_Hall '-C 2 2'
_cell_length_a 5.788
_cell_length_b 22.130
_cell_length_c 3.565
_cell_angle_alpha 90.00
_cell_angle_beta 90.00
_cell_angle_gamma 90.00
loop_
_atom_site_label
_atom_site_type_symbol
_atom_site_fract_x
_atom_site_fract_y
_atom_site_fract_z
K1 K 0.000 0.000 0.000
Tl1 Tl 0.000 0.424 0.500
Pb1 Pb 0.000 0.157 0.500
Pb2 Pb 0.000 0.292 0.000



Verdict on stability: arrangement a comes out at the bottom.